First-principles (GGA-PBE) data for a geometry-optimized Tb4Pr2HoMg structure, as listed in Alexandria via LeMat-Bulk.

Values from the calculation:
Its crystal system is tetragonal. As for the electronic total energy: -34.030 eV/f.u.

a = 5.0052 Å, b = 5.0052 Å, c = 10.1853 Å
α = 90.00°, β = 90.00°, γ = 90.00°
Fractional coordinates of all 8 atoms:
Tb 0.0000 0.5000 0.2494
Tb 0.0000 0.5000 0.7506
Tb 0.5000 0.0000 0.2494
Tb 0.5000 0.0000 0.7506
Pr 0.0000 0.0000 0.0000
Pr 0.5000 0.5000 0.5000
Ho 0.0000 0.0000 0.5000
Mg 0.5000 0.5000 0.0000